1.
Computed, not measured: a geometry-optimized MnPOs2 structure at the PBE-GGA level of DFT.

## Properties
- DOS at the Fermi energy (states/eV/atom) = 1.455
- E (eV per cell) = -140.292

abc: 5.979 5.979 5.979
angles: 90.00 90.00 90.00
Space group F-43m (No. 216)
Asymmetric unit:
Mn1 0.000 0.000 0.000 x4
P1 0.250 0.250 0.750 x4
Os1 0.000 0.000 0.500 x4
Os2 0.250 0.250 0.250 x4

2.
Computed, not measured: a geometry-optimized ScZn2ReRu structure at the PBE-GGA level of DFT.

## Properties
- DOS at the Fermi energy (states/eV/atom) = 1.023
- E (eV per cell) = -21.177

abc: 4.779 4.779 4.540
angles: 90.00 90.00 90.00
Space group P4/mmm (No. 123)
Asymmetric unit:
Sc1 0.000 0.000 0.000 x1
Zn1 0.000 0.500 0.000 x2
Re1 0.000 0.000 0.500 x1
Ru1 0.500 0.500 0.500 x1

3.
Computed, not measured: a geometry-optimized CaTbSm structure at the PBE-GGA level of DFT.

## Properties
- DOS at the Fermi energy (states/eV/atom) = 1.295
- energy above the most stable polymorph in this dataset (meV per atom) = 12
- E (eV per cell) = -22.408

abc: 3.670 3.670 15.684
angles: 90.00 90.00 90.00
Space group I4mm (No. 107)
Asymmetric unit:
Ca1 0.000 0.000 0.000 x2
Tb1 0.000 0.000 0.325 x2
Sm1 0.000 0.000 0.677 x2

4.
Computed, not measured: a geometry-optimized K4NaAu4 structure at the PBE-GGA level of DFT.

## Properties
- DOS at the Fermi energy (states/eV/atom) = 0.345
- E (eV per cell) = -41.361

abc: 6.970 6.970 13.924
angles: 90.00 90.00 90.00
Space group I-42m (No. 121)
Asymmetric unit:
K1 0.217 0.217 0.363 x8
Na1 0.000 0.000 0.000 x2
Au1 0.235 0.235 0.122 x8

5.
Computed, not measured: a geometry-optimized CaSiAs2 structure at the PBE-GGA level of DFT.

## Properties
- DOS at the Fermi energy (states/eV/atom) = 0.516
- E (eV per cell) = -34.532

abc: 4.397 4.397 8.482
angles: 90.00 90.00 90.00
Space group I4/mmm (No. 139)
Asymmetric unit:
Ca1 0.000 0.000 0.000 x2
Si1 0.000 0.000 0.500 x2
As1 0.000 0.500 0.250 x4

6.
Computed, not measured: a geometry-optimized ErBIrRh structure at the PBE-GGA level of DFT.

## Properties
- DOS at the Fermi energy (states/eV/atom) = 0.829
- E (eV per cell) = -59.165

abc: 3.607 3.897 9.080
angles: 90.00 90.00 90.00
Space group Imm2 (No. 44)
Asymmetric unit:
Er1 0.000 0.000 0.000 x2
B1 0.000 0.500 0.253 x2
Ir1 0.000 0.000 0.644 x2
Rh1 0.000 0.000 0.351 x2

7.
Computed, not measured: a geometry-optimized MgInCo structure at the PBE-GGA level of DFT.

## Properties
- DOS at the Fermi energy (states/eV/atom) = 0.950
- E (eV per cell) = -10.966

abc: 4.4502 4.4502 3.0661
angles: 90.00 90.00 120.00
Space group P3m1 (No. 156)
Asymmetric unit:
Mg1 0.0000 0.0000 0.0000 x1
In1 0.3333 0.6667 0.4861 x1
Co1 0.6667 0.3333 0.5213 x1

8.
Computed, not measured: a geometry-optimized MnBe3Re structure at the PBE-GGA level of DFT.

## Properties
- DOS at the Fermi energy (states/eV/atom) = 1.757
- E (eV per cell) = -27.511

abc: 3.793 3.793 3.793
angles: 90.00 90.00 90.00
Space group Pm-3m (No. 221)
Asymmetric unit:
Mn1 0.000 0.000 0.000 x1
Be1 0.000 0.000 0.500 x3
Re1 0.500 0.500 0.500 x1

9.
Computed, not measured: a geometry-optimized ScCdAu2 structure at the PBE-GGA level of DFT.

## Properties
- DOS at the Fermi energy (states/eV/atom) = 0.550
- E (eV per cell) = -31.512

abc: 4.310 4.310 8.263
angles: 90.00 90.00 90.00
Space group I-4m2 (No. 119)
Asymmetric unit:
Sc1 0.000 0.000 0.000 x2
Cd1 0.000 0.500 0.750 x2
Au1 0.000 0.000 0.500 x2
Au2 0.000 0.500 0.250 x2

10.
Computed, not measured: a geometry-optimized PmTmO4 structure at the PBE-GGA level of DFT.

## Properties
- DOS at the Fermi energy (states/eV/atom) = 0.000
- E (eV per cell) = -93.361

abc: 6.689 3.854 6.305
angles: 90.00 97.33 90.00
Space group Cm (No. 8)
Asymmetric unit:
Pm1 0.000 0.000 0.000 x2
Tm1 0.117 0.500 0.541 x2
O1 0.157 0.500 0.901 x2
O2 0.217 0.000 0.346 x2
O3 0.392 0.000 0.217 x2
O4 0.455 0.500 0.615 x2

11.
Computed, not measured: a geometry-optimized Al7Zn4Ga structure at the PBE-GGA level of DFT.

## Properties
- DOS at the Fermi energy (states/eV/atom) = 0.387
- E (eV per cell) = -33.868

abc: 2.9526 2.9526 25.9437
angles: 90.00 90.00 120.00
Space group P-3m1 (No. 164)
Asymmetric unit:
Al1 0.0000 0.0000 0.0000 x1
Al2 0.0000 0.0000 0.2502 x2
Al3 0.3333 0.6667 0.1659 x2
Al4 0.3333 0.6667 0.4152 x2
Zn1 0.3333 0.6667 0.6675 x2
Zn2 0.3333 0.6667 0.9162 x2
Ga1 0.0000 0.0000 0.5000 x1

12.
Computed, not measured: a geometry-optimized Zr3BiB3 structure at the PBE-GGA level of DFT.

## Properties
- DOS at the Fermi energy (states/eV/atom) = 0.462
- E (eV per cell) = -105.436

abc: 8.3438 8.3438 3.6496
angles: 90.00 90.00 120.00
Space group P6_3/m (No. 176)
Asymmetric unit:
Zr1 0.0633 0.7027 0.2500 x6
Bi1 0.3333 0.6667 0.7500 x2
B1 0.0228 0.8875 0.7500 x6